Computed, not measured: a geometry-optimized VGa2BiO8 structure at the GGA+U level of DFT.

Calculated values
The total energy comes out at -148.7 eV for the cell shown. As for the spin magnetization: 0.00 Bohr magnetons per cell. As for the density of states at the Fermi level: 0.16 states/eV per atom.

The structure in CIF format:
```
data_VGa2BiO8
_chemical_formula_sum 'V2 Ga4 Bi2 O16'
_cell_length_a 6.512
_cell_length_b 6.688
_cell_length_c 6.232
_cell_angle_alpha 90.00
_cell_angle_beta 90.00
_cell_angle_gamma 90.00
_space_group_name_H-M_alt 'C m m m'
_space_group_IT_number 65
_space_group_name_Hall '-C 2 2'
loop_
_atom_site_label
_atom_site_fract_x
_atom_site_fract_y
_atom_site_fract_z
V1 0.000 0.000 0.000
Ga1 0.000 0.500 0.236
Bi1 0.000 0.000 0.500
O1 0.000 0.196 0.223
O2 0.179 0.500 0.500
O3 0.204 0.500 0.000
```

***

Computed, not measured: a geometry-optimized VGaBiO6 structure at the GGA+U level of DFT.

Calculated values
The total energy comes out at -114.6 eV for the cell shown. As for the spin magnetization: 0.00 Bohr magnetons per cell. As for the density of states at the Fermi level: 0.22 states/eV per atom.

The structure in CIF format:
```
data_VGaBiO6
_chemical_formula_sum 'V2 Ga2 Bi2 O12'
_cell_length_a 4.746
_cell_length_b 4.746
_cell_length_c 9.520
_cell_angle_alpha 90.00
_cell_angle_beta 90.00
_cell_angle_gamma 90.00
_space_group_name_H-M_alt 'P 42 n m'
_space_group_IT_number 102
_space_group_name_Hall 'P 4n -2n'
loop_
_atom_site_label
_atom_site_fract_x
_atom_site_fract_y
_atom_site_fract_z
V1 0.000 0.000 0.000
Ga1 0.000 0.000 0.343
Bi1 0.000 0.000 0.669
O1 0.171 0.171 0.172
O2 0.198 0.198 0.869
O3 0.210 0.210 0.494
```

***

Computed, not measured: a geometry-optimized GaBiWO6 structure at the GGA+U level of DFT.

Calculated values
The total energy comes out at -119.2 eV for the cell shown. As for the spin magnetization: 0.00 Bohr magnetons per cell. As for the density of states at the Fermi level: 0.00 states/eV per atom.

The structure in CIF format:
```
data_GaBiWO6
_chemical_formula_sum 'Ga2 Bi2 W2 O12'
_cell_length_a 5.2386
_cell_length_b 5.2386
_cell_length_c 10.0161
_cell_angle_alpha 90.00
_cell_angle_beta 90.00
_cell_angle_gamma 120.00
_space_group_name_H-M_alt 'P -3 1 c'
_space_group_IT_number 163
_space_group_name_Hall '-P 3 2c'
loop_
_atom_site_label
_atom_site_fract_x
_atom_site_fract_y
_atom_site_fract_z
Ga1 0.3333 0.6667 0.2500
Bi1 0.0000 0.0000 0.0000
W1 0.3333 0.6667 0.7500
O1 0.0073 0.3736 0.6416
```